Density functional theory data (GGA-PBE) for crystalline Ca2In9Ni3 at its relaxed geometry.

```
28
Lattice="7.562 -0.031 -3.154 -4.454 6.878 -0.024 0.360 0.234 11.340" Properties=species:S:1:pos:R:3 pbc="T T T"
Ca 1.695 1.869 7.440
Ca 1.774 5.212 0.722
Ca 5.215 4.165 5.347
Ca -1.746 2.915 2.815
In -0.471 6.477 7.072
In 3.940 0.603 1.090
In 2.243 4.929 6.391
In 1.226 2.151 1.771
In 0.840 4.536 9.100
In 2.629 2.544 -0.938
In -0.529 3.652 5.856
In 3.998 3.428 2.306
In 6.383 1.122 5.689
In -2.913 5.958 2.473
In -2.985 6.968 10.230
In 6.454 0.112 -2.068
In 3.405 1.460 4.615
In 0.064 5.620 3.547
In 3.148 6.013 3.679
In 0.321 1.067 4.483
In 4.837 2.390 8.009
In -1.368 4.690 0.153
Ni 3.781 -0.016 -1.577
Ni 1.735 3.540 4.081
Ni 5.721 1.234 3.039
Ni -2.252 5.846 5.123
Ni -0.213 2.273 -0.527
Ni 3.682 4.807 8.689
```

Output
**Fermi-level density of states**: 0.258 states/eV/atom
**Magnetization**: 0.0 μB/f.u.
**ΔH_f (0 K)**: -227 meV/atom

Density functional theory data (GGA-PBE) for crystalline Sm2ErHf at its relaxed geometry.

```
4
Lattice="-0.105 3.261 1.163 -0.854 0.637 3.296 10.556 0.596 4.439" Properties=species:S:1:pos:R:3 pbc="T T T"
Sm 7.990 0.762 3.742
Sm 2.240 1.134 2.181
Er 4.814 2.246 4.453
Hf 9.908 3.195 7.409
```

Output
**Fermi-level density of states**: 1.465 states/eV/atom
**Magnetization**: 0.0 μB/f.u.
**ΔH_f (0 K)**: 147 meV/atom

Density functional theory data (GGA-PBE) for crystalline PuRu2Au at its relaxed geometry.

```
4
Lattice="3.769 0.000 0.000 0.000 4.279 0.000 0.000 0.000 4.279" Properties=species:S:1:pos:R:3 pbc="T T T"
Ru 0.000 0.000 2.140
Ru 0.000 2.140 0.000
Au 1.885 0.000 0.000
Pu 1.885 2.140 2.140
```

Output
**Fermi-level density of states**: 2.119 states/eV/atom
**Magnetization**: 2.2 μB/f.u.
**ΔH_f (0 K)**: -64 meV/atom